Record 1
Computed, not measured: an optimized crystal structure of Pr6As3Se2Cl at the GGA-PBE level of DFT.

Summary:
Calculated volume, Å³/cell: 334.6
Fermi-level density of states, states/eV/cell: 4.7
Spin magnetization, μB/atom: 0.000
Electronic total energy, eV per formula unit: -71.5

Cell lengths 9.6167, 9.6167, 8.6015 Å; angles 103.46, 103.46, 25.67 degrees
Positions (direct):
1 Pr 0.0024 0.0024 0.2325
2 Pr 0.3256 0.3256 0.4196
3 Pr 0.3344 0.3344 0.9109
4 Pr 0.6656 0.6656 0.0891
5 Pr 0.6744 0.6744 0.5804
6 Pr 0.9976 0.9976 0.7675
7 As 0.1645 0.1645 0.3339
8 As 0.5000 0.5000 0.0000
9 As 0.8355 0.8355 0.6661
10 Se 0.1647 0.1647 0.8295
11 Se 0.8353 0.8353 0.1705
12 Cl 0.5000 0.5000 0.5000



Record 2
Computed, not measured: an optimized crystal structure of BaSrSCl2 at the GGA-PBE level of DFT.

Summary:
Distance to the lowest polymorph of the same formula, kJ/mol of atoms: 36.07
Calculated volume, Å³/cell: 200.0
Fermi-level density of states, states/eV/cell: 0.2
Spin magnetization, μB/atom: 0.000

Cell lengths 5.7208, 5.7208, 6.1097 Å; angles 90.00, 90.00, 90.00 degrees
Positions (direct):
1 Ba 0.0000 0.0000 0.0000
2 Sr 0.5000 0.5000 0.5000
3 S 0.0000 0.0000 0.5000
4 Cl 0.0000 0.5000 0.0000
5 Cl 0.5000 0.0000 0.0000



Record 3
Computed, not measured: an optimized crystal structure of Ba2CdPt at the GGA-PBE level of DFT.

Summary:
Formation energy from the elements, eV per atom: -0.548
Calculated volume, Å³/cell: 590.4
Fermi-level density of states, states/eV/cell: 11.8
Spin magnetization, μB/atom: 0.000

Cell lengths 4.5551, 15.6896, 8.2608 Å; angles 90.00, 90.00, 90.00 degrees
Positions (direct):
1 Ba 0.0000 0.1397 0.0014
2 Ba 0.0000 0.1397 0.4986
3 Ba 0.0000 0.8603 0.5014
4 Ba 0.0000 0.8603 0.9986
5 Ba 0.5000 0.3603 0.5014
6 Ba 0.5000 0.3603 0.9986
7 Ba 0.5000 0.6397 0.0014
8 Ba 0.5000 0.6397 0.4986
9 Cd 0.0000 0.4898 0.2500
10 Cd 0.0000 0.5102 0.7500
11 Cd 0.5000 0.0102 0.7500
12 Cd 0.5000 0.9898 0.2500
13 Pt 0.0000 0.3080 0.2500
14 Pt 0.0000 0.6920 0.7500
15 Pt 0.5000 0.1920 0.7500
16 Pt 0.5000 0.8080 0.2500



Record 4
Computed, not measured: an optimized crystal structure of AcSm2In at the GGA-PBE level of DFT.

Summary:
Formation energy from the elements, eV per atom: -0.200
Distance to the lowest polymorph of the same formula, kJ/mol of atoms: 2.21
Calculated volume, Å³/cell: 548.9
Fermi-level density of states, states/eV/cell: 11.7
Spin magnetization, μB/atom: 0.000

Cell lengths 13.6623, 5.6298, 7.1366 Å; angles 90.00, 90.00, 90.00 degrees
Positions (direct):
1 Ac 0.1230 0.2500 0.0962
2 Ac 0.3770 0.7500 0.5962
3 Ac 0.6230 0.2500 0.4038
4 Ac 0.8770 0.7500 0.9038
5 Sm 0.0567 0.7500 0.3864
6 Sm 0.1997 0.2500 0.6122
7 Sm 0.3003 0.7500 0.1122
8 Sm 0.4433 0.2500 0.8864
9 Sm 0.5567 0.7500 0.1136
10 Sm 0.6997 0.2500 0.8878
11 Sm 0.8003 0.7500 0.3878
12 Sm 0.9433 0.2500 0.6136
13 In 0.1229 0.7500 0.8122
14 In 0.3771 0.2500 0.3122
15 In 0.6229 0.7500 0.6878
16 In 0.8771 0.2500 0.1878



Record 5
Computed, not measured: an optimized crystal structure of Ba2YSc at the GGA-PBE level of DFT.

Summary:
Formation energy from the elements, eV per atom: 0.412
Distance to the lowest polymorph of the same formula, kJ/mol of atoms: 21.41
Calculated volume, Å³/cell: 653.8
Fermi-level density of states, states/eV/cell: 28.7
Spin magnetization, μB/atom: 0.000

Cell lengths 8.6793, 8.6793, 8.6793 Å; angles 90.00, 90.00, 90.00 degrees
Positions (direct):
1 Ba 0.2500 0.2500 0.2500
2 Ba 0.2500 0.2500 0.7500
3 Ba 0.2500 0.7500 0.2500
4 Ba 0.2500 0.7500 0.7500
5 Ba 0.7500 0.2500 0.2500
6 Ba 0.7500 0.2500 0.7500
7 Ba 0.7500 0.7500 0.2500
8 Ba 0.7500 0.7500 0.7500
9 Y 0.0000 0.0000 0.0000
10 Y 0.0000 0.5000 0.5000
11 Y 0.5000 0.0000 0.5000
12 Y 0.5000 0.5000 0.0000
13 Sc 0.0000 0.0000 0.5000
14 Sc 0.0000 0.5000 0.0000
15 Sc 0.5000 0.0000 0.0000
16 Sc 0.5000 0.5000 0.5000



Record 6
Computed, not measured: an optimized crystal structure of Nb12Pt3W5 at the GGA-PBE level of DFT.

Summary:
Formation energy from the elements, eV per atom: 1.153
Calculated volume, Å³/cell: 1774.5
Fermi-level density of states, states/eV/cell: 103.1
Spin magnetization, μB/atom: 0.000

Cell lengths 13.2099, 13.2099, 13.2099 Å; angles 109.47, 109.47, 109.47 degrees
Positions (direct):
1 Nb 0.0584 0.2240 0.1416
2 Nb 0.0584 0.3344 0.9168
3 Nb 0.0824 0.7240 0.6656
4 Nb 0.0824 0.8584 0.4168
5 Nb 0.0832 0.6416 0.4176
6 Nb 0.0832 0.9416 0.6656
7 Nb 0.1416 0.0584 0.2240
8 Nb 0.1416 0.5832 0.9176
9 Nb 0.1656 0.2240 0.5824
10 Nb 0.1656 0.4416 0.5832
11 Nb 0.2240 0.1416 0.0584
12 Nb 0.2240 0.5824 0.1656
13 Nb 0.2760 0.3344 0.9176
14 Nb 0.2760 0.4416 0.3584
15 Nb 0.3344 0.9168 0.0584
16 Nb 0.3344 0.9176 0.2760
17 Nb 0.3584 0.2760 0.4416
18 Nb 0.3584 0.5824 0.9168
19 Nb 0.4168 0.0824 0.8584
20 Nb 0.4168 0.8344 0.5584
21 Nb 0.4176 0.0832 0.6416
22 Nb 0.4176 0.8344 0.7760
23 Nb 0.4416 0.3584 0.2760
24 Nb 0.4416 0.5832 0.1656
25 Nb 0.5584 0.4168 0.8344
26 Nb 0.5584 0.6416 0.7240
27 Nb 0.5824 0.1656 0.2240
28 Nb 0.5824 0.9168 0.3584
29 Nb 0.5832 0.1656 0.4416
30 Nb 0.5832 0.9176 0.1416
31 Nb 0.6416 0.4176 0.0832
32 Nb 0.6416 0.7240 0.5584
33 Nb 0.6656 0.0824 0.7240
34 Nb 0.6656 0.0832 0.9416
35 Nb 0.7240 0.5584 0.6416
36 Nb 0.7240 0.6656 0.0824
37 Nb 0.7760 0.4176 0.8344
38 Nb 0.7760 0.8584 0.9416
39 Nb 0.8344 0.5584 0.4168
40 Nb 0.8344 0.7760 0.4176
41 Nb 0.8584 0.4168 0.0824
42 Nb 0.8584 0.9416 0.7760
43 Nb 0.9168 0.0584 0.3344
44 Nb 0.9168 0.3584 0.5824
45 Nb 0.9176 0.1416 0.5832
46 Nb 0.9176 0.2760 0.3344
47 Nb 0.9416 0.6656 0.0832
48 Nb 0.9416 0.7760 0.8584
49 Pt 0.1250 0.2500 0.3750
50 Pt 0.1250 0.3750 0.7500
51 Pt 0.2500 0.3750 0.1250
52 Pt 0.2500 0.8750 0.6250
53 Pt 0.3750 0.1250 0.2500
54 Pt 0.3750 0.7500 0.1250
55 Pt 0.6250 0.2500 0.8750
56 Pt 0.6250 0.8750 0.7500
57 Pt 0.7500 0.1250 0.3750
58 Pt 0.7500 0.6250 0.8750
59 Pt 0.8750 0.6250 0.2500
60 Pt 0.8750 0.7500 0.6250
61 W 0.0000 0.0000 0.0000
62 W 0.0000 0.0000 0.5000
63 W 0.0000 0.5000 0.0000
64 W 0.0000 0.5000 0.5000
65 W 0.1250 0.7500 0.8750
66 W 0.1250 0.8750 0.2500
67 W 0.2500 0.1250 0.8750
68 W 0.2500 0.6250 0.3750
69 W 0.3750 0.2500 0.6250
70 W 0.3750 0.6250 0.7500
71 W 0.5000 0.0000 0.0000
72 W 0.5000 0.0000 0.5000
73 W 0.5000 0.5000 0.0000
74 W 0.5000 0.5000 0.5000
75 W 0.6250 0.3750 0.2500
76 W 0.6250 0.7500 0.3750
77 W 0.7500 0.3750 0.6250
78 W 0.7500 0.8750 0.1250
79 W 0.8750 0.1250 0.7500
80 W 0.8750 0.2500 0.1250